Entry 1:
Computed, not measured: TbNpGa2O8 after structural relaxation at the GGA-PBE level of DFT.

Properties
Formation energy without anion corrections (eV per atom): -2.30
Magnetization (μB/atom): 0.00

a b c (Å): 6.9366 6.9366 6.6113
angles (deg): 90.00 90.00 90.00
Closest atoms and distances in Å follow each position.
Space group I-4m2 (No. 119)
Inequivalent atoms, fractional coordinates:
1 Tb 0.0000 0.0000 0.0000 x2  8 O 2.25-2.48
2 Np 0.0000 0.5000 0.7500 x2  8 O 2.13-2.30
3 Ga 0.0000 0.0000 0.5000 x2  4 O 1.86
4 Ga 0.0000 0.5000 0.2500 x2  4 O 1.84
5 O 0.0000 0.1991 0.6879 x8  1 Ga 1.86
6 O 0.0000 0.3224 0.0430 x8  1 Ga 1.84


Entry 2:
Computed, not measured: NpTiGaO6 after structural relaxation at the GGA-PBE level of DFT.

Properties
Formation energy without anion corrections (eV per atom): -2.58
Magnetization (μB/atom): 0.22

a b c (Å): 5.0860 5.0860 9.4880
angles (deg): 90.00 90.00 120.00
Closest atoms and distances in Å follow each position.
Space group P-31c (No. 163)
Inequivalent atoms, fractional coordinates:
1 Np 0.0000 0.0000 0.0000 x2  6 O 2.17
2 Ti 0.3333 0.6667 0.2500 x2  6 O 1.98
3 Ga 0.3333 0.6667 0.7500 x2  6 O 2.01
4 O 0.0042 0.3465 0.1350 x12  1 Ti 1.98, 1 Ga 2.01, 1 Np 2.17


Entry 3:
Computed, not measured: NpTlGa2O8 after structural relaxation at the GGA-PBE level of DFT.

Properties
Formation energy without anion corrections (eV per atom): -1.71
Magnetization (μB/atom): 0.00

a b c (Å): 6.7035 6.8289 6.5489
angles (deg): 90.00 90.00 90.00
Closest atoms and distances in Å follow each position.
Space group Cmmm (No. 65)
Inequivalent atoms, fractional coordinates:
1 Np 0.0000 0.0000 0.0000 x2  6 O 2.03-2.04
2 Tl 0.0000 0.0000 0.5000 x2  6 O 2.13-2.34
3 Ga 0.0000 0.5000 0.2618 x4  6 O 1.98-2.17
4 O 0.0000 0.2116 0.2190 x8  1 Ga 1.99, 1 Np 2.04
5 O 0.1821 0.5000 0.5000 x4  2 Ga 1.98, 1 Tl 2.13
6 O 0.1974 0.5000 0.0000 x4  1 Np 2.03, 2 Ga 2.17


Entry 4:
Computed, not measured: NpTl2GaO6 after structural relaxation at the GGA-PBE level of DFT.

Properties
Formation energy without anion corrections (eV per atom): -1.72
Magnetization (μB/atom): 0.00

a b c (Å): 6.0287 6.0287 29.3291
angles (deg): 90.00 90.00 120.00
Closest atoms and distances in Å follow each position.
Space group R-3m (No. 166, hexagonal axes)
Inequivalent atoms, fractional coordinates:
1 Np 0.0000 0.0000 0.0000 x3  6 O 2.06
2 Np 0.0000 0.0000 0.5000 x3  6 O 2.03
3 Tl 0.0000 0.0000 0.1283 x6  12 O 3.03-3.13
4 Tl 0.0000 0.0000 0.2745 x6  3 O 2.68
5 Ga 0.0000 0.0000 0.4011 x6  6 O 1.96-2.20
6 O 0.0058 0.5029 0.7057 x18  1 Ga 1.96, 1 Np 2.06
7 O 0.0396 0.5198 0.1214 x18  1 Np 2.03, 1 Ga 2.20